No. 1
# NbCu2As

A geometry-optimized NbCu2As structure (PBE-GGA, the Open Quantum Materials Database).

```
NbCu2As
1.0
0.000 3.073 3.073
3.073 0.000 3.073
3.073 3.073 0.000
Nb Cu As
1 2 1
direct
0.000 0.000 0.000 Nb
0.250 0.250 0.250 Cu
0.500 0.500 0.500 Cu
0.750 0.750 0.750 As
```

## Properties
Space-group type = F-43m (216)
DFT total energy = -5.420 eV per atom

***

No. 2
# Nb2CuAs

A geometry-optimized Nb2CuAs structure (PBE-GGA, the Open Quantum Materials Database).

```
Nb2CuAs
1.0
0.000 3.195 3.195
3.195 0.000 3.195
3.195 3.195 0.000
Nb Cu As
2 1 1
direct
0.000 0.000 0.000 Nb
0.250 0.250 0.250 Nb
0.750 0.750 0.750 Cu
0.500 0.500 0.500 As
```

## Properties
Space-group type = F-43m (216)
DFT total energy = -6.849 eV per atom

***

No. 3
# Nb3CuAs5

A geometry-optimized Nb3CuAs5 structure (PBE-GGA, the Open Quantum Materials Database).

```
Nb3CuAs5
1.0
5.713 0.000 0.000
-2.856 4.948 0.000
0.000 0.000 6.788
Nb Cu As
3 1 5
direct
0.000 0.500 0.000 Nb
0.500 0.000 0.000 Nb
0.500 0.500 0.000 Nb
0.000 0.000 0.500 Cu
0.000 0.000 0.000 As
0.333 0.667 0.303 As
0.333 0.667 0.697 As
0.667 0.333 0.303 As
0.667 0.333 0.697 As
```

## Properties
Space-group type = P6/mmm (191)
DFT total energy = -6.268 eV per atom

***

No. 4
# NbCuAsOs

A geometry-optimized NbCuAsOs structure (PBE-GGA, the Open Quantum Materials Database).

```
NbCuAsOs
1.0
0.000 3.137 3.137
3.137 0.000 3.137
3.137 3.137 0.000
Nb Cu As Os
1 1 1 1
direct
0.000 0.000 0.000 Nb
0.750 0.750 0.750 Cu
0.500 0.500 0.500 As
0.250 0.250 0.250 Os
```

## Properties
Space-group type = F-43m (216)
Energy relative to the lowest polymorph listed for this composition = 0.00 eV/f.u.
DFT total energy = -7.253 eV per atom

***

No. 5
# NbCuAsPd

A geometry-optimized NbCuAsPd structure (PBE-GGA, the Open Quantum Materials Database).

```
NbCuAsPd
1.0
0.000 3.180 3.180
3.180 0.000 3.180
3.180 3.180 0.000
Nb Cu As Pd
1 1 1 1
direct
0.000 0.000 0.000 Nb
0.750 0.750 0.750 Cu
0.500 0.500 0.500 As
0.250 0.250 0.250 Pd
```

## Properties
Space-group type = F-43m (216)
Energy relative to the lowest polymorph listed for this composition = 1.14 eV/f.u.
DFT total energy = -5.757 eV per atom

***

No. 6
# NbCuAsPd

A geometry-optimized NbCuAsPd structure (PBE-GGA, the Open Quantum Materials Database).

```
NbCuAsPd
1.0
0.000 3.145 3.145
3.145 0.000 3.145
3.145 3.145 0.000
Nb Cu As Pd
1 1 1 1
direct
0.000 0.000 0.000 Nb
0.500 0.500 0.500 Cu
0.250 0.250 0.250 As
0.750 0.750 0.750 Pd
```

## Properties
Space-group type = F-43m (216)
Energy relative to the lowest polymorph listed for this composition = 0.00 eV/f.u.
DFT total energy = -6.041 eV per atom

***

No. 7
# NbCuAsPt

A geometry-optimized NbCuAsPt structure (PBE-GGA, the Open Quantum Materials Database).

```
NbCuAsPt
1.0
0.000 3.158 3.158
3.158 0.000 3.158
3.158 3.158 0.000
Nb Cu As Pt
1 1 1 1
direct
0.000 0.000 0.000 Nb
0.500 0.500 0.500 Cu
0.250 0.250 0.250 As
0.750 0.750 0.750 Pt
```

## Properties
Space-group type = F-43m (216)
Energy relative to the lowest polymorph listed for this composition = 0.00 eV/f.u.
DFT total energy = -6.312 eV per atom

***

No. 8
# NbCuAsPt

A geometry-optimized NbCuAsPt structure (PBE-GGA, the Open Quantum Materials Database).

```
NbCuAsPt
1.0
0.000 3.188 3.188
3.188 0.000 3.188
3.188 3.188 0.000
Nb Cu As Pt
1 1 1 1
direct
0.000 0.000 0.000 Nb
0.750 0.750 0.750 Cu
0.500 0.500 0.500 As
0.250 0.250 0.250 Pt
```

## Properties
Space-group type = F-43m (216)
Energy relative to the lowest polymorph listed for this composition = 1.08 eV/f.u.
DFT total energy = -6.042 eV per atom

***

No. 9
# ScNbCuAs

A geometry-optimized ScNbCuAs structure (PBE-GGA, the Open Quantum Materials Database).

```
ScNbCuAs
1.0
0.000 3.222 3.222
3.222 0.000 3.222
3.222 3.222 0.000
Sc Nb Cu As
1 1 1 1
direct
0.000 0.000 0.000 Sc
0.250 0.250 0.250 Nb
0.750 0.750 0.750 Cu
0.500 0.500 0.500 As
```

## Properties
Space-group type = F-43m (216)
Energy relative to the lowest polymorph listed for this composition = 0.00 eV/f.u.
DFT total energy = -6.016 eV per atom

***

No. 10
# NbCuAsW

A geometry-optimized NbCuAsW structure (PBE-GGA, the Open Quantum Materials Database).

```
NbCuAsW
1.0
0.000 3.161 3.161
3.161 0.000 3.161
3.161 3.161 0.000
Nb Cu As W
1 1 1 1
direct
0.000 0.000 0.000 Nb
0.750 0.750 0.750 Cu
0.500 0.500 0.500 As
0.250 0.250 0.250 W
```

## Properties
Space-group type = F-43m (216)
Energy relative to the lowest polymorph listed for this composition = 0.00 eV/f.u.
DFT total energy = -7.433 eV per atom

***

No. 11
# NbZnCuAs

A geometry-optimized NbZnCuAs structure (PBE-GGA, the Open Quantum Materials Database).

```
NbZnCuAs
1.0
0.000 3.190 3.190
3.190 0.000 3.190
3.190 3.190 0.000
Nb Zn Cu As
1 1 1 1
direct
0.000 0.000 0.000 Nb
0.250 0.250 0.250 Zn
0.750 0.750 0.750 Cu
0.500 0.500 0.500 As
```

## Properties
Space-group type = F-43m (216)
Energy relative to the lowest polymorph listed for this composition = 1.21 eV/f.u.
DFT total energy = -4.459 eV per atom

***

No. 12
# NbZnCuAs

A geometry-optimized NbZnCuAs structure (PBE-GGA, the Open Quantum Materials Database).

```
NbZnCuAs
1.0
0.000 3.139 3.139
3.139 0.000 3.139
3.139 3.139 0.000
Nb Zn Cu As
1 1 1 1
direct
0.000 0.000 0.000 Nb
0.750 0.750 0.750 Zn
0.500 0.500 0.500 Cu
0.250 0.250 0.250 As
```

## Properties
Space-group type = F-43m (216)
Energy relative to the lowest polymorph listed for this composition = 0.00 eV/f.u.
DFT total energy = -4.762 eV per atom

***

No. 13
# ZrNbCuAs

A geometry-optimized ZrNbCuAs structure (PBE-GGA, the Open Quantum Materials Database).

```
ZrNbCuAs
1.0
0.000 3.257 3.257
3.257 0.000 3.257
3.257 3.257 0.000
Zr Nb Cu As
1 1 1 1
direct
0.000 0.000 0.000 Zr
0.250 0.250 0.250 Nb
0.750 0.750 0.750 Cu
0.500 0.500 0.500 As
```

## Properties
Space-group type = F-43m (216)
Energy relative to the lowest polymorph listed for this composition = 0.00 eV/f.u.
DFT total energy = -6.529 eV per atom

***

No. 14
# PrNdCu2As2P2

A geometry-optimized PrNdCu2As2P2 structure (PBE-GGA, the Open Quantum Materials Database).

```
PrNdCu2As2P2
1.0
3.907 0.000 0.000
0.000 3.907 0.000
0.000 0.000 10.125
Pr Nd Cu As P
1 1 2 2 2
direct
0.000 0.000 0.000 Pr
0.500 0.500 0.489 Nd
0.000 0.500 0.744 Cu
0.500 0.000 0.744 Cu
0.000 0.500 0.245 As
0.500 0.000 0.245 As
0.000 0.000 0.601 P
0.500 0.500 0.887 P
```

## Properties
Space-group type = P4mm (99)
DFT total energy = -5.518 eV per atom

***

No. 15
# NdCuSbAs

A geometry-optimized NdCuSbAs structure (PBE-GGA, the Open Quantum Materials Database).

```
NdCuSbAs
1.0
4.164 0.000 0.000
0.000 4.164 0.000
0.000 0.000 10.282
Nd Cu Sb As
2 2 2 2
direct
0.250 0.250 0.228 Nd
0.750 0.750 0.772 Nd
0.250 0.750 0.500 Cu
0.750 0.250 0.500 Cu
0.250 0.250 0.659 Sb
0.750 0.750 0.341 Sb
0.250 0.750 0.000 As
0.750 0.250 0.000 As
```

## Properties
Space-group type = P4/nmm (129)
DFT total energy = -5.000 eV per atom

***

No. 16
# NdScCu2As4

A geometry-optimized NdScCu2As4 structure (PBE-GGA, the Open Quantum Materials Database).

```
NdScCu2As4
1.0
3.893 0.000 0.000
0.000 3.893 0.000
0.000 0.000 9.792
Nd Sc Cu As
1 1 2 4
direct
0.000 0.000 0.000 Nd
0.500 0.500 0.529 Sc
0.000 0.500 0.278 Cu
0.500 0.000 0.278 Cu
0.000 0.000 0.439 As
0.000 0.500 0.750 As
0.500 0.000 0.750 As
0.500 0.500 0.118 As
```

## Properties
Space-group type = P4mm (99)
DFT total energy = -5.400 eV per atom

***

No. 17
# NdTmCu2As4

A geometry-optimized NdTmCu2As4 structure (PBE-GGA, the Open Quantum Materials Database).

```
NdTmCu2As4
1.0
3.936 0.000 0.000
0.000 3.936 0.000
0.000 0.000 9.957
Nd Tm Cu As
1 1 2 4
direct
0.000 0.000 0.000 Nd
0.500 0.500 0.525 Tm
0.000 0.500 0.271 Cu
0.500 0.000 0.271 Cu
0.000 0.000 0.429 As
0.000 0.500 0.755 As
0.500 0.000 0.755 As
0.500 0.500 0.115 As
```

## Properties
Space-group type = P4mm (99)
DFT total energy = -5.220 eV per atom

***

No. 18
# NdYCu2As4

A geometry-optimized NdYCu2As4 structure (PBE-GGA, the Open Quantum Materials Database).

```
NdYCu2As4
1.0
3.945 0.000 0.000
0.000 3.945 0.000
0.000 0.000 10.000
Nd Y Cu As
1 1 2 4
direct
0.000 0.000 0.000 Nd
0.500 0.500 0.525 Y
0.000 0.500 0.267 Cu
0.500 0.000 0.267 Cu
0.000 0.000 0.423 As
0.000 0.500 0.758 As
0.500 0.000 0.758 As
0.500 0.500 0.112 As
```

## Properties
Space-group type = P4mm (99)
DFT total energy = -5.487 eV per atom

***

No. 19
# Cu5NiAs2

A geometry-optimized Cu5NiAs2 structure (PBE-GGA, the Open Quantum Materials Database).

```
Cu5NiAs2
1.0
4.180 0.000 0.000
0.000 4.180 0.000
0.000 0.000 5.909
Cu Ni As
5 1 2
direct
0.000 0.000 0.000 Cu
0.000 0.500 0.250 Cu
0.000 0.500 0.750 Cu
0.500 0.000 0.250 Cu
0.500 0.000 0.750 Cu
0.500 0.500 0.500 Ni
0.000 0.000 0.500 As
0.500 0.500 0.000 As
```

## Properties
Space-group type = P4/mmm (123)
DFT total energy = -4.066 eV per atom

***

No. 20
# Cu5NiAs2

A geometry-optimized Cu5NiAs2 structure (PBE-GGA, the Open Quantum Materials Database).

```
Cu5NiAs2
1.0
4.180 0.000 0.000
0.000 4.180 0.000
0.000 0.000 5.909
Cu Ni As
5 1 2
direct
0.000 0.000 0.000 Cu
0.000 0.500 0.250 Cu
0.000 0.500 0.750 Cu
0.500 0.000 0.250 Cu
0.500 0.000 0.750 Cu
0.500 0.500 0.500 Ni
0.000 0.000 0.500 As
0.500 0.500 0.000 As
```

## Properties
Space-group type = P4/mmm (123)
DFT total energy = -4.066 eV per atom

***

Total magnetic moment (μB/f.u.)
0.04 0.00 0.00 0.02 0.69 0.01 0.01 0.77 0.68 0.01 1.31 0.02 0.00 0.00 0.00 0.00 0.00 0.00 0.01 0.01